(1)
# RbCaPt3

Crystalline RbCaPt3 at its relaxed geometry (PBE-GGA, the Alexandria database).

Properties
final energy	-2.848	eV/atom
calculated density	8.46	g/cm3
ΔH_f (0 K)	1370	meV/atom
V	27.91	Å³ per atom

Cell: 5.1867 5.1867 5.1867 Å, 90.00 90.00 90.00°
Atoms (fractional coordinates):
Ca1 0.5000 0.5000 0.5000
Rb1 0.0000 0.0000 0.0000
Pt1 0.0000 0.5000 0.0000
Pt2 0.0000 0.0000 0.5000
Pt3 0.5000 0.0000 0.0000

=====

(2)
# ThZrCu2

Crystalline ThZrCu2 at its relaxed geometry (PBE-GGA, the Alexandria database).

Properties
final energy	-6.074	eV/atom
calculated density	9.26	g/cm3
ΔH_f (0 K)	-34	meV/atom
V	20.18	Å³ per atom

Cell: 3.4759 4.8191 4.8191 Å, 90.00 90.00 90.00°
Atoms (fractional coordinates):
Cu1 0.0000 0.0000 0.5000
Cu2 0.0000 0.5000 0.0000
Zr1 0.5000 0.5000 0.5000
Th1 0.5000 0.0000 0.0000